[1]
Computed, not measured: an optimized crystal structure of Ce2AgP at the GGA-PBE level of DFT.

Summary:
**M_tot**: 6.526 μB per cell
**Energy of formation from the pure elements**: -650 meV/atom
**Calculated total energy**: -5.68 eV/atom

Cell and atoms, written as CIF:
```
data_Ce2AgP
_cell_length_a 4.0136
_cell_length_b 4.0136
_cell_length_c 22.9813
_cell_angle_alpha 90.00
_cell_angle_beta 90.00
_cell_angle_gamma 120.00
_symmetry_space_group_name_H-M 'R -3 m'
_symmetry_Int_Tables_number 166
_symmetry_space_group_name_Hall '-R 3 2"'
loop_
_atom_site_label
_atom_site_type_symbol
_atom_site_fract_x
_atom_site_fract_y
_atom_site_fract_z
_atom_site_occupancy
Ce1 Ce 0.0000 0.0000 0.2381 1
Ag1 Ag 0.0000 0.0000 0.0000 1
P1 P 0.0000 0.0000 0.5000 1
```


[2]
Computed, not measured: an optimized crystal structure of Mn2PPb at the GGA-PBE level of DFT.

Summary:
**M_tot**: 14.749 μB per cell
**Energy of formation from the pure elements**: 398 meV/atom
**Calculated total energy**: -6.47 eV/atom

Cell and atoms, written as CIF:
```
data_Mn2PPb
_cell_length_a 3.9138
_cell_length_b 3.9138
_cell_length_c 9.2106
_cell_angle_alpha 90.00
_cell_angle_beta 90.00
_cell_angle_gamma 90.00
_symmetry_space_group_name_H-M 'I -4 m 2'
_symmetry_Int_Tables_number 119
_symmetry_space_group_name_Hall 'I -4 -2'
loop_
_atom_site_label
_atom_site_type_symbol
_atom_site_fract_x
_atom_site_fract_y
_atom_site_fract_z
_atom_site_occupancy
Mn1 Mn 0.0000 0.0000 0.0000 1
Mn2 Mn 0.0000 0.5000 0.2500 1
P1 P 0.0000 0.5000 0.7500 1
Pb1 Pb 0.0000 0.0000 0.5000 1
```


[3]
Computed, not measured: an optimized crystal structure of TlBTe2 at the GGA-PBE level of DFT.

Summary:
**M_tot**: 0.000 μB per cell
**E above lowest polymorph**: 360.7 meV per atom
**Energy relative to the elements, uncorrected**: 497 meV/atom
**Calculated total energy**: -3.34 eV/atom

Cell and atoms, written as CIF:
```
data_TlBTe2
_cell_length_a 3.4843
_cell_length_b 3.4843
_cell_length_c 29.5882
_cell_angle_alpha 90.00
_cell_angle_beta 90.00
_cell_angle_gamma 120.00
_symmetry_space_group_name_H-M 'R -3 m'
_symmetry_Int_Tables_number 166
_symmetry_space_group_name_Hall '-R 3 2"'
loop_
_atom_site_label
_atom_site_type_symbol
_atom_site_fract_x
_atom_site_fract_y
_atom_site_fract_z
_atom_site_occupancy
Tl1 Tl 0.0000 0.0000 0.0000 1
B1 B 0.0000 0.0000 0.5000 1
Te1 Te 0.0000 0.0000 0.1167 1
```


[4]
Computed, not measured: an optimized crystal structure of Li2PbW at the GGA-PBE level of DFT.

Summary:
**M_tot**: 0.012 μB per cell
**Energy of formation from the pure elements**: 488 meV/atom
**Calculated total energy**: -4.63 eV/atom

Cell and atoms, written as CIF:
```
data_Li2PbW
_cell_length_a 2.9841
_cell_length_b 2.9841
_cell_length_c 29.5586
_cell_angle_alpha 90.00
_cell_angle_beta 90.00
_cell_angle_gamma 120.00
_symmetry_space_group_name_H-M 'R -3 m'
_symmetry_Int_Tables_number 166
_symmetry_space_group_name_Hall '-R 3 2"'
loop_
_atom_site_label
_atom_site_type_symbol
_atom_site_fract_x
_atom_site_fract_y
_atom_site_fract_z
_atom_site_occupancy
Li1 Li 0.0000 0.0000 0.2463 1
Pb1 Pb 0.0000 0.0000 0.0000 1
W1 W 0.0000 0.0000 0.5000 1
```


[5]
Computed, not measured: an optimized crystal structure of Cs2CrInSe4 at the GGA-PBE level of DFT.

Summary:
**M_tot**: 24.000 μB per cell
**Energy relative to the elements, uncorrected**: -801 meV/atom
**Calculated total energy**: -4.30 eV/atom

Cell and atoms, written as CIF:
```
data_Cs2CrInSe4
_cell_length_a 6.6182
_cell_length_b 14.4140
_cell_length_c 25.3722
_cell_angle_alpha 90.00
_cell_angle_beta 90.00
_cell_angle_gamma 90.00
_symmetry_space_group_name_H-M 'F d d d'
_symmetry_Int_Tables_number 70
loop_
_symmetry_equiv_pos_as_xyz
'x,y,z'
'-x,-y,-z'
'-x+1/4,-y+1/4,z'
'x+1/4,y+1/4,-z'
'x,-y+1/4,-z+1/4'
'-x,y+1/4,z+1/4'
'-x+1/4,y,-z+1/4'
'x+1/4,-y,z+1/4'
'x,y+1/2,z+1/2'
'-x,-y+1/2,-z+1/2'
'-x+1/4,-y+3/4,z+1/2'
'x+1/4,y+3/4,-z+1/2'
'x,-y+3/4,-z+3/4'
'-x,y+3/4,z+3/4'
'-x+1/4,y+1/2,-z+3/4'
'x+1/4,-y+1/2,z+3/4'
'x+1/2,y,z+1/2'
'-x+1/2,-y,-z+1/2'
'-x+3/4,-y+1/4,z+1/2'
'x+3/4,y+1/4,-z+1/2'
'x+1/2,-y+1/4,-z+3/4'
'-x+1/2,y+1/4,z+3/4'
'-x+3/4,y,-z+3/4'
'x+3/4,-y,z+3/4'
'x+1/2,y+1/2,z'
'-x+1/2,-y+1/2,-z'
'-x+3/4,-y+3/4,z'
'x+3/4,y+3/4,-z'
'x+1/2,-y+3/4,-z+1/4'
'-x+1/2,y+3/4,z+1/4'
'-x+3/4,y+1/2,-z+1/4'
'x+3/4,-y+1/2,z+1/4'
loop_
_atom_site_label
_atom_site_type_symbol
_atom_site_fract_x
_atom_site_fract_y
_atom_site_fract_z
_atom_site_occupancy
Cs1 Cs 0.1250 0.1250 0.3045 1
Cr1 Cr 0.1250 0.1250 0.6250 1
In1 In 0.1250 0.1250 0.1250 1
Se1 Se 0.1073 0.2812 0.8221 1
```


[6]
Computed, not measured: an optimized crystal structure of MgTc at the GGA-PBE level of DFT.

Summary:
**M_tot**: 0.000 μB per cell
**Energy of formation from the pure elements**: 143 meV/atom
**E above lowest polymorph**: 167.8 meV per atom
**Calculated total energy**: -5.84 eV/atom

Cell and atoms, written as CIF:
```
data_MgTc
_cell_length_a 2.8888
_cell_length_b 2.8888
_cell_length_c 14.1983
_cell_angle_alpha 90.00
_cell_angle_beta 90.00
_cell_angle_gamma 120.00
_symmetry_space_group_name_H-M 'P -6 m 2'
_symmetry_Int_Tables_number 187
_symmetry_space_group_name_Hall 'P -6 2'
loop_
_atom_site_label
_atom_site_type_symbol
_atom_site_fract_x
_atom_site_fract_y
_atom_site_fract_z
_atom_site_occupancy
Mg1 Mg 0.0000 0.0000 0.0000 1
Mg2 Mg 0.6667 0.3333 0.1923 1
Tc1 Tc 0.0000 0.0000 0.3544 1
Tc2 Tc 0.6667 0.3333 0.5000 1
```


[7]
Computed, not measured: an optimized crystal structure of Cd3SeI at the GGA-PBE level of DFT.

Summary:
**M_tot**: 0.000 μB per cell
**E above lowest polymorph**: 610.2 meV per atom
**Energy relative to the elements, uncorrected**: 576 meV/atom
**Calculated total energy**: -0.98 eV/atom

Cell and atoms, written as CIF:
```
data_Cd3SeI
_cell_length_a 5.8096
_cell_length_b 5.8096
_cell_length_c 5.8096
_cell_angle_alpha 90.00
_cell_angle_beta 90.00
_cell_angle_gamma 90.00
_symmetry_space_group_name_H-M 'P m -3 m'
_symmetry_Int_Tables_number 221
_symmetry_space_group_name_Hall '-P 4 2 3'
loop_
_atom_site_label
_atom_site_type_symbol
_atom_site_fract_x
_atom_site_fract_y
_atom_site_fract_z
_atom_site_occupancy
Cd1 Cd 0.0000 0.0000 0.5000 1
Se1 Se 0.5000 0.5000 0.5000 1
I1 I 0.0000 0.0000 0.0000 1
```


[8]
Computed, not measured: an optimized crystal structure of Ba3Rh at the GGA-PBE level of DFT.

Summary:
**M_tot**: 0.000 μB per cell
**Energy of formation from the pure elements**: -134 meV/atom
**Calculated total energy**: -3.41 eV/atom

Cell and atoms, written as CIF:
```
data_Ba3Rh
_cell_length_a 6.3830
_cell_length_b 14.1712
_cell_length_c 4.4969
_cell_angle_alpha 90.00
_cell_angle_beta 90.00
_cell_angle_gamma 90.00
_symmetry_space_group_name_H-M 'C m m m'
_symmetry_Int_Tables_number 65
_symmetry_space_group_name_Hall '-C 2 2'
loop_
_atom_site_label
_atom_site_type_symbol
_atom_site_fract_x
_atom_site_fract_y
_atom_site_fract_z
_atom_site_occupancy
Ba1 Ba 0.0000 0.0000 0.0000 1
Ba2 Ba 0.0000 0.3539 0.5000 1
Rh1 Rh 0.0000 0.5000 0.0000 1
```


[9]
Computed, not measured: an optimized crystal structure of NdMgScIr at the GGA-PBE level of DFT.

Summary:
**M_tot**: 0.000 μB per cell
**Energy of formation from the pure elements**: -364 meV/atom
**Calculated total energy**: -5.75 eV/atom

Cell and atoms, written as CIF:
```
data_NdMgScIr
_cell_length_a 7.0411
_cell_length_b 7.0411
_cell_length_c 7.0411
_cell_angle_alpha 90.00
_cell_angle_beta 90.00
_cell_angle_gamma 90.00
_symmetry_space_group_name_H-M 'F -4 3 m'
_symmetry_Int_Tables_number 216
_symmetry_space_group_name_Hall 'F -4 2 3'
loop_
_atom_site_label
_atom_site_type_symbol
_atom_site_fract_x
_atom_site_fract_y
_atom_site_fract_z
_atom_site_occupancy
Nd1 Nd 0.0000 0.0000 0.0000 1
Mg1 Mg 0.2500 0.2500 0.7500 1
Sc1 Sc 0.0000 0.0000 0.5000 1
Ir1 Ir 0.2500 0.2500 0.2500 1
```


[10]
Computed, not measured: an optimized crystal structure of SbTe2HPt at the GGA-PBE level of DFT.

Summary:
**M_tot**: 0.000 μB per cell
**E above lowest polymorph**: 0.0 meV per atom
**Calculated total energy**: -3.36 eV/atom

Cell and atoms, written as CIF:
```
data_SbTe2HPt
_cell_length_a 5.0928
_cell_length_b 5.0928
_cell_length_c 3.8904
_cell_angle_alpha 90.00
_cell_angle_beta 90.00
_cell_angle_gamma 90.00
_symmetry_space_group_name_H-M 'P 4/m m m'
_symmetry_Int_Tables_number 123
_symmetry_space_group_name_Hall '-P 4 2'
loop_
_atom_site_label
_atom_site_type_symbol
_atom_site_fract_x
_atom_site_fract_y
_atom_site_fract_z
_atom_site_occupancy
Sb1 Sb 0.0000 0.0000 0.0000 1
Te1 Te 0.0000 0.5000 0.5000 1
H1 H 0.0000 0.0000 0.5000 1
Pt1 Pt 0.5000 0.5000 0.0000 1
```


[11]
Computed, not measured: an optimized crystal structure of In2MoIr at the GGA-PBE level of DFT.

Summary:
**M_tot**: 0.000 μB per cell
**Energy of formation from the pure elements**: -4 meV/atom
**E above lowest polymorph**: 0.0 meV per atom
**Calculated total energy**: -6.30 eV/atom

Cell and atoms, written as CIF:
```
data_In2MoIr
_cell_length_a 2.9607
_cell_length_b 2.9653
_cell_length_c 17.2739
_cell_angle_alpha 90.00
_cell_angle_beta 90.00
_cell_angle_gamma 90.00
_symmetry_space_group_name_H-M 'A m m 2'
_symmetry_Int_Tables_number 38
_symmetry_space_group_name_Hall 'A 2 -2'
loop_
_atom_site_label
_atom_site_type_symbol
_atom_site_fract_x
_atom_site_fract_y
_atom_site_fract_z
_atom_site_occupancy
In1 In 0.0000 0.0000 0.0000 1
In2 In 0.5000 0.0000 0.1630 1
Mo1 Mo 0.0000 0.0000 0.7860 1
Ir1 Ir 0.5000 0.0000 0.3823 1
```


[12]
Computed, not measured: an optimized crystal structure of La3CoOs at the GGA-PBE level of DFT.

Summary:
**M_tot**: 0.000 μB per cell
**Energy of formation from the pure elements**: 405 meV/atom
**E above lowest polymorph**: 0.0 meV per atom
**Calculated total energy**: -6.22 eV/atom

Cell and atoms, written as CIF:
```
data_La3CoOs
_cell_length_a 5.1030
_cell_length_b 5.1030
_cell_length_c 5.1030
_cell_angle_alpha 90.00
_cell_angle_beta 90.00
_cell_angle_gamma 90.00
_symmetry_space_group_name_H-M 'P m -3 m'
_symmetry_Int_Tables_number 221
_symmetry_space_group_name_Hall '-P 4 2 3'
loop_
_atom_site_label
_atom_site_type_symbol
_atom_site_fract_x
_atom_site_fract_y
_atom_site_fract_z
_atom_site_occupancy
La1 La 0.0000 0.0000 0.5000 1
Co1 Co 0.0000 0.0000 0.0000 1
Os1 Os 0.5000 0.5000 0.5000 1
```


[13]
Computed, not measured: an optimized crystal structure of Ce2CoC2 at the GGA-PBE level of DFT.

Summary:
**M_tot**: 0.011 μB per cell
**Energy of formation from the pure elements**: -181 meV/atom
**E above lowest polymorph**: 0.0 meV per atom
**Calculated total energy**: -7.67 eV/atom

Cell and atoms, written as CIF:
```
data_Ce2CoC2
_cell_length_a 5.2844
_cell_length_b 3.5519
_cell_length_c 8.6571
_cell_angle_alpha 90.00
_cell_angle_beta 101.69
_cell_angle_gamma 90.00
_symmetry_space_group_name_H-M 'P 1 21/m 1'
_symmetry_Int_Tables_number 11
_symmetry_space_group_name_Hall '-P 2yb'
loop_
_atom_site_label
_atom_site_type_symbol
_atom_site_fract_x
_atom_site_fract_y
_atom_site_fract_z
_atom_site_occupancy
Ce1 Ce 0.1444 0.2500 0.1838 1
Ce2 Ce 0.2851 0.2500 0.6058 1
Co1 Co 0.3616 0.2500 0.9457 1
C1 C 0.2093 0.7500 0.3861 1
C2 C 0.3615 0.7500 0.8602 1
```


[14]
Computed, not measured: an optimized crystal structure of TaMnP2 at the GGA-PBE level of DFT.

Summary:
**M_tot**: 0.000 μB per cell
**Energy of formation from the pure elements**: -136 meV/atom
**E above lowest polymorph**: 480.0 meV per atom
**Calculated total energy**: -8.10 eV/atom

Cell and atoms, written as CIF:
```
data_TaMnP2
_cell_length_a 2.9046
_cell_length_b 2.9046
_cell_length_c 22.3229
_cell_angle_alpha 90.00
_cell_angle_beta 90.00
_cell_angle_gamma 120.00
_symmetry_space_group_name_H-M 'R -3 m'
_symmetry_Int_Tables_number 166
_symmetry_space_group_name_Hall '-R 3 2"'
loop_
_atom_site_label
_atom_site_type_symbol
_atom_site_fract_x
_atom_site_fract_y
_atom_site_fract_z
_atom_site_occupancy
Ta1 Ta 0.0000 0.0000 0.0000 1
Mn1 Mn 0.0000 0.0000 0.5000 1
P1 P 0.0000 0.0000 0.2393 1
```


[15]
Computed, not measured: an optimized crystal structure of Th2P3PdPt12 at the GGA-PBE level of DFT.

Summary:
**M_tot**: 0.000 μB per cell
**Energy of formation from the pure elements**: -427 meV/atom
**Calculated total energy**: -6.47 eV/atom

Cell and atoms, written as CIF:
```
data_Th2P3PdPt12
_cell_length_a 8.2345
_cell_length_b 8.2345
_cell_length_c 18.0832
_cell_angle_alpha 90.00
_cell_angle_beta 90.00
_cell_angle_gamma 120.00
_symmetry_space_group_name_H-M 'R -3 m'
_symmetry_Int_Tables_number 166
_symmetry_space_group_name_Hall '-R 3 2"'
loop_
_atom_site_label
_atom_site_type_symbol
_atom_site_fract_x
_atom_site_fract_y
_atom_site_fract_z
_atom_site_occupancy
Th1 Th 0.0000 0.0000 0.1150 1
P1 P 0.0000 0.5000 0.0000 1
Pd1 Pd 0.0000 0.0000 0.5000 1
Pt1 Pt 0.0103 0.5052 0.8728 1
Pt2 Pt 0.0297 0.5149 0.3631 1
```


[16]
Computed, not measured: an optimized crystal structure of PuCuAu2 at the GGA-PBE level of DFT.

Summary:
**M_tot**: 5.560 μB per cell
**Energy of formation from the pure elements**: -228 meV/atom
**Calculated total energy**: -6.47 eV/atom

Cell and atoms, written as CIF:
```
data_PuCuAu2
_cell_length_a 3.2950
_cell_length_b 3.2950
_cell_length_c 7.0795
_cell_angle_alpha 90.00
_cell_angle_beta 90.00
_cell_angle_gamma 90.00
_symmetry_space_group_name_H-M 'P 4/m m m'
_symmetry_Int_Tables_number 123
_symmetry_space_group_name_Hall '-P 4 2'
loop_
_atom_site_label
_atom_site_type_symbol
_atom_site_fract_x
_atom_site_fract_y
_atom_site_fract_z
_atom_site_occupancy
Pu1 Pu 0.0000 0.0000 0.0000 1
Cu1 Cu 0.0000 0.0000 0.5000 1
Au1 Au 0.5000 0.5000 0.2951 1
```


[17]
Computed, not measured: an optimized crystal structure of PmNdY14 at the GGA-PBE level of DFT.

Summary:
**M_tot**: 0.000 μB per cell
**Energy of formation from the pure elements**: 21 meV/atom
**Calculated total energy**: -6.23 eV/atom

Cell and atoms, written as CIF:
```
data_PmNdY14
_cell_length_a 7.1720
_cell_length_b 7.1720
_cell_length_c 10.1132
_cell_angle_alpha 90.00
_cell_angle_beta 90.00
_cell_angle_gamma 90.00
_symmetry_space_group_name_H-M 'P 4/m m m'
_symmetry_Int_Tables_number 123
_symmetry_space_group_name_Hall '-P 4 2'
loop_
_atom_site_label
_atom_site_type_symbol
_atom_site_fract_x
_atom_site_fract_y
_atom_site_fract_z
_atom_site_occupancy
Pm1 Pm 0.0000 0.0000 0.0000 1
Nd1 Nd 0.5000 0.5000 0.0000 1
Y1 Y 0.0000 0.0000 0.5000 1
Y2 Y 0.0000 0.5000 0.0000 1
Y3 Y 0.0000 0.5000 0.5000 1
Y4 Y 0.2499 0.2499 0.2513 1
Y5 Y 0.5000 0.5000 0.5000 1
```